No. 1
VASP calculation (PBEsol) on a relaxed structure of TaAgPb3.

Structure (CIF):
```
data_TaAgPb3
_chemical_formula_sum 'Ta1 Ag1 Pb3'
_cell_length_a 5.277
_cell_length_b 5.277
_cell_length_c 5.277
_cell_angle_alpha 90.00
_cell_angle_beta 90.00
_cell_angle_gamma 90.00
_space_group_name_H-M_alt 'P m -3 m'
_space_group_IT_number 221
_space_group_name_Hall '-P 4 2 3'
loop_
_atom_site_label
_atom_site_fract_x
_atom_site_fract_y
_atom_site_fract_z
_atom_site_occupancy
Ta1 0.000 0.000 0.000 1
Ag1 0.500 0.500 0.500 1
Pb1 0.000 0.500 0.500 1
```

Summary:
Crystal system ... cubic
Energy ... -0.155 hartree per atom
Formation energy ... 1.35 eV/atom

=====

No. 2
VASP calculation (PBEsol) on a relaxed structure of Tc2AgPb.

Structure (CIF):
```
data_Tc2AgPb
_chemical_formula_sum 'Tc6 Ag3 Pb3'
_cell_length_a 2.9509
_cell_length_b 2.9509
_cell_length_c 26.9147
_cell_angle_alpha 90.00
_cell_angle_beta 90.00
_cell_angle_gamma 120.00
_space_group_name_H-M_alt 'R -3 m'
_space_group_IT_number 166
_space_group_name_Hall '-R 3 2"'
loop_
_atom_site_label
_atom_site_fract_x
_atom_site_fract_y
_atom_site_fract_z
_atom_site_occupancy
Tc1 0.0000 0.0000 0.2493 1
Ag1 0.0000 0.0000 0.5000 1
Pb1 0.0000 0.0000 0.0000 1
```

Summary:
Crystal system ... trigonal
Energy ... -0.242 hartree per atom
Formation energy ... 0.89 eV/atom

=====

Density of states at the Fermi level: 7.47 4.51 (states/eV/f.u.)